TeAu2Se2: optimized geometry, PBE.

The structure in POSCAR format:
```
TeAu2Se2
1.0
3.9191 0.0000 0.0000
0.0000 3.9191 0.0000
1.9595 1.9595 7.3646
Se Au Te
2 2 1
Direct
0.3925 0.3925 0.2150
0.6075 0.6075 0.7850
0.2500 0.7500 0.5000
0.7500 0.2500 0.5000
0.0000 0.0000 0.0000
```

## Properties
ρ = 9.975 g cm⁻³
energy above the most stable polymorph in this dataset = 11 meV per atom

***

TeAu2Se: optimized geometry, PBE.

The structure in POSCAR format:
```
TeAu2Se
1.0
4.9506 0.0000 0.0000
2.4753 4.2874 0.0000
2.4753 1.4291 4.0422
Te Au Se
1 2 1
Direct
0.7500 0.7500 0.7500
0.2500 0.2500 0.2500
0.0000 0.0000 0.0000
0.5000 0.5000 0.5000
```

## Properties
ρ = 11.622 g cm⁻³
energy above the most stable polymorph in this dataset = 402 meV per atom

***

Te5Au4Se: optimized geometry, PBE.

The structure in POSCAR format:
```
Te5Au4Se
1.0
-1.4543 -5.8974 3.8152
8.6636 -1.1646 1.5022
-0.6253 4.9901 7.4752
Se Au Te
2 8 10
Direct
0.2104 0.5000 0.5000
0.7896 0.0000 0.0000
0.4133 0.7423 0.5000
0.4133 0.2577 0.5000
0.0053 0.5000 0.2560
0.5867 0.7577 0.0000
0.9947 0.0000 0.2440
0.5867 0.2423 0.0000
0.0053 0.5000 0.7440
0.9947 0.0000 0.7560
0.2088 0.0000 0.5000
0.7591 0.7485 0.6576
0.2409 0.7515 0.8424
0.2409 0.2485 0.1576
0.7912 0.5000 0.0000
0.2409 0.2485 0.8424
0.7591 0.2515 0.6576
0.7591 0.7485 0.3424
0.7591 0.2515 0.3424
0.2409 0.7515 0.1576
```

## Properties
ρ = 8.719 g cm⁻³

***

TeAu2Se: optimized geometry, PBE.

The structure in POSCAR format:
```
TeAu2Se
1.0
-4.1151 0.5167 -0.9504
-0.7652 -2.2004 2.1171
-0.1910 6.4831 4.3515
Te Se Au
1 1 2
Direct
0.5000 0.9677 0.8085
0.0000 0.2743 0.4254
0.0000 0.0725 0.0198
0.5000 0.1855 0.2463
```

## Properties
ρ = 9.727 g cm⁻³
energy above the most stable polymorph in this dataset = 34 meV per atom

***

Te2AuSe: optimized geometry, PBE.

The structure in POSCAR format:
```
Te2AuSe
1.0
-3.0930 -4.7494 -3.3011
0.0994 -6.4477 -1.1990
-2.0232 0.6561 3.6027
Au Te Se
1 2 1
Direct
0.4982 0.4982 0.4982
0.9993 0.9993 0.9993
0.7414 0.7414 0.7414
0.2611 0.2611 0.2611
```

## Properties
ρ = 8.609 g cm⁻³
energy above the most stable polymorph in this dataset = 15 meV per atom

***

TeAu2Se: optimized geometry, PBE.

The structure in POSCAR format:
```
TeAu2Se
1.0
-0.1880 -0.1765 -6.1954
-1.4093 -3.5310 -4.8985
-3.6468 1.9699 1.6611
Se Te Au
1 1 2
Direct
0.7500 0.7500 0.7500
0.2500 0.2500 0.2500
0.5032 0.5032 0.5029
0.9968 0.9968 0.9971
```

## Properties
ρ = 10.757 g cm⁻³
energy above the most stable polymorph in this dataset = 104 meV per atom

***

Te2AuSe: optimized geometry, PBE.

The structure in POSCAR format:
```
Te2AuSe
1.0
3.9479 0.0000 0.0000
0.0000 7.7120 0.0000
0.0000 0.0000 3.9856
Te Au Se
2 1 1
Direct
0.0000 0.0000 0.0000
0.5000 0.5000 0.0000
0.5000 0.0000 0.5000
0.0000 0.5000 0.5000
```

## Properties
ρ = 7.268 g cm⁻³
energy above the most stable polymorph in this dataset = 217 meV per atom

***

TeAu2Se: optimized geometry, PBE.

The structure in POSCAR format:
```
TeAu2Se
1.0
-2.9282 -3.6914 1.1310
4.1921 -1.7586 -1.6775
1.4773 -0.0309 3.7240
Au Te Se
2 1 1
Direct
0.5000 0.5000 0.0000
0.0000 0.0000 0.0000
0.0000 0.5000 0.5000
0.5000 0.0000 0.5000
```

## Properties
ρ = 11.217 g cm⁻³
energy above the most stable polymorph in this dataset = 315 meV per atom

***

no.,E (eV per atom),ΔE_f (raw) (eV per formula unit)
1,-3.051,1.410
2,-2.899,1.583
3,-3.224,0.066
4,-3.268,0.110
5,-3.262,-0.001
6,-3.198,0.389
7,-3.059,0.807
8,-2.987,1.232